Entry from Alexandria via LeMat-Bulk: Er12Co6Sb after structural relaxation (PBE).

E   -5.678 eV per atom
V   23.1 Å³ per atom
SG   Im-3
Formation energy from raw total energies   -0.335 eV per atom

Unit cell a=8.2911 b=8.2911 c=8.2911 alpha=109.47 beta=109.47 gamma=109.47
Closest atoms and distances in Å follow each position.
Atoms (fractional coordinates):
Er 0.1077 0.8038 0.3039  3 Co 2.62-2.87
Co 0.1136 0.6136 0.5000  1 Co 2.17
Er 0.5001 0.1962 0.3039  3 Co 2.62-2.87
Er 0.3039 0.5001 0.1962  3 Co 2.62-2.87
Er 0.1962 0.6961 0.8923  3 Co 2.62-2.87
Er 0.8923 0.1962 0.6961  3 Co 2.62-2.87
Er 0.6961 0.8923 0.1962  3 Co 2.62-2.87
Er 0.6961 0.4999 0.8038  3 Co 2.62-2.87
Co 0.5000 0.8864 0.3864  1 Co 2.17
Co 0.6136 0.5000 0.1136  1 Co 2.17
Er 0.4999 0.8038 0.6961  3 Co 2.62-2.87
Er 0.8038 0.6961 0.4999  3 Co 2.62-2.87
Er 0.8038 0.3039 0.1077  3 Co 2.62-2.87
Er 0.1962 0.3039 0.5001  3 Co 2.62-2.87
Co 0.3864 0.5000 0.8864  1 Co 2.17
Sb 0.0000 0.0000 0.0000  12 Er 3.46
Er 0.3039 0.1077 0.8038  3 Co 2.62-2.87
Co 0.5000 0.1136 0.6136  1 Co 2.17
Co 0.8864 0.3864 0.5000  1 Co 2.17